(1)
The following is a PBEsol calculation of an optimized crystal structure of LaTaTiNb2, from Alexandria via LeMat-Bulk.

Calculated values
The value obtained for the density of states at the Fermi level is 1.352 states/eV/atom. The value obtained for the electronic total energy is -7.65 eV/atom. As for the space group: No. 123. The volume is 22.62 A^3/atom. Its magnetic moment is 1.8 μB per formula unit. For the formation energy, the calculation gives 1920 meV/atom.

Unit cell a=4.811 b=4.811 c=4.887 alpha=90.00 beta=90.00 gamma=90.00
Atoms (fractional coordinates):
La 0.000 0.000 0.000
Ta 0.000 0.000 0.500
Ti 0.500 0.500 0.500
Nb 0.000 0.500 0.000
Nb 0.500 0.000 0.000

(2)
The following is a PBEsol calculation of an optimized crystal structure of La2NbTc, from Alexandria via LeMat-Bulk.

Calculated values
The value obtained for the density of states at the Fermi level is 2.106 states/eV/atom. The value obtained for the electronic total energy is -7.58 eV/atom. As for the space group: No. 225. The volume is 22.38 A^3/atom. Its magnetic moment is 0.9 μB per formula unit. For the formation energy, the calculation gives 618 meV/atom.

Unit cell a=5.021 b=5.021 c=5.021 alpha=60.00 beta=60.00 gamma=60.00
Atoms (fractional coordinates):
La 0.250 0.250 0.250
La 0.750 0.750 0.750
Nb 0.000 0.000 0.000
Tc 0.500 0.500 0.500

(3)
The following is a PBEsol calculation of an optimized crystal structure of La2Nb2Tc, from Alexandria via LeMat-Bulk.

Calculated values
The value obtained for the density of states at the Fermi level is 1.147 states/eV/atom. The value obtained for the electronic total energy is -7.54 eV/atom. As for the space group: No. 139. The volume is 22.88 A^3/atom. Its magnetic moment is 0.0 μB per formula unit. For the formation energy, the calculation gives 1182 meV/atom.

Unit cell a=8.107 b=8.107 c=8.107 alpha=152.36 beta=152.36 gamma=39.48
Atoms (fractional coordinates):
La 0.250 0.750 0.500
La 0.750 0.250 0.500
Nb 0.074 0.074 0.000
Nb 0.926 0.926 0.000
Tc 0.500 0.500 0.000

(4)
The following is a PBEsol calculation of an optimized crystal structure of LaNbW3, from Alexandria via LeMat-Bulk.

Calculated values
The value obtained for the density of states at the Fermi level is 1.691 states/eV/atom. The value obtained for the electronic total energy is -9.76 eV/atom. As for the space group: No. 221. The volume is 22.73 A^3/atom. Its magnetic moment is 0.9 μB per formula unit. For the formation energy, the calculation gives 1753 meV/atom.

Unit cell a=4.844 b=4.844 c=4.844 alpha=90.00 beta=90.00 gamma=90.00
Atoms (fractional coordinates):
La 0.000 0.000 0.000
Nb 0.500 0.500 0.500
W 0.000 0.500 0.500
W 0.500 0.000 0.500
W 0.500 0.500 0.000

(5)
The following is a PBEsol calculation of an optimized crystal structure of La3NbZn, from Alexandria via LeMat-Bulk.

Calculated values
The value obtained for the density of states at the Fermi level is 1.767 states/eV/atom. The value obtained for the electronic total energy is -4.81 eV/atom. As for the space group: No. 221. The volume is 33.94 A^3/atom. Its magnetic moment is 3.5 μB per formula unit. For the formation energy, the calculation gives 878 meV/atom.

Unit cell a=5.537 b=5.537 c=5.537 alpha=90.00 beta=90.00 gamma=90.00
Atoms (fractional coordinates):
La 0.000 0.000 0.500
La 0.000 0.500 0.000
La 0.500 0.000 0.000
Nb 0.500 0.500 0.500
Zn 0.000 0.000 0.000

(6)
The following is a PBEsol calculation of an optimized crystal structure of LaNdTl2, from Alexandria via LeMat-Bulk.

Calculated values
The value obtained for the density of states at the Fermi level is 0.992 states/eV/atom. The value obtained for the electronic total energy is -4.40 eV/atom. As for the space group: No. 225. The volume is 29.04 A^3/atom. Its magnetic moment is 0.0 μB per formula unit. For the formation energy, the calculation gives -459 meV/atom.

Unit cell a=5.477 b=5.477 c=5.477 alpha=60.00 beta=60.00 gamma=60.00
Atoms (fractional coordinates):
La 0.000 0.000 0.000
Nd 0.500 0.500 0.500
Tl 0.250 0.250 0.250
Tl 0.750 0.750 0.750

(7)
The following is a PBEsol calculation of an optimized crystal structure of La5Ni, from Alexandria via LeMat-Bulk.

Calculated values
The value obtained for the density of states at the Fermi level is 1.471 states/eV/atom. The value obtained for the electronic total energy is -5.53 eV/atom. As for the space group: No. 8. The volume is 29.75 A^3/atom. The calculation puts the energy above the most stable polymorph in this dataset at 0.0 meV/atom. Its magnetic moment is 0.0 μB per formula unit. For the formation energy, the calculation gives -50 meV/atom.

Unit cell a=6.334 b=6.334 c=8.548 alpha=107.31 beta=107.31 gamma=33.20
Atoms (fractional coordinates):
La 0.000 0.000 0.000
La 0.043 0.043 0.413
La 0.382 0.382 0.638
La 0.693 0.693 0.802
La 0.758 0.758 0.252
Ni 0.331 0.331 0.048

(8)
The following is a PBEsol calculation of an optimized crystal structure of La3Ni2, from Alexandria via LeMat-Bulk.

Calculated values
The value obtained for the density of states at the Fermi level is 0.979 states/eV/atom. The value obtained for the electronic total energy is -5.80 eV/atom. As for the space group: No. 166. The volume is 26.64 A^3/atom. Its magnetic moment is 0.0 μB per formula unit. For the formation energy, the calculation gives -128 meV/atom.

Unit cell a=9.946 b=9.946 c=9.946 alpha=23.13 beta=23.13 gamma=23.13
Atoms (fractional coordinates):
La 0.000 0.000 0.000
La 0.222 0.222 0.222
La 0.778 0.778 0.778
Ni 0.393 0.393 0.393
Ni 0.607 0.607 0.607

(9)
The following is a PBEsol calculation of an optimized crystal structure of La4Ni, from Alexandria via LeMat-Bulk.

Calculated values
The value obtained for the density of states at the Fermi level is 1.392 states/eV/atom. The value obtained for the electronic total energy is -5.58 eV/atom. As for the space group: No. 87. The volume is 28.94 A^3/atom. Its magnetic moment is 0.0 μB per formula unit. For the formation energy, the calculation gives -69 meV/atom.

Unit cell a=6.591 b=6.591 c=6.591 alpha=94.28 beta=94.28 gamma=148.30
Atoms (fractional coordinates):
La 0.072 0.257 0.329
La 0.257 0.928 0.186
La 0.743 0.072 0.814
La 0.928 0.743 0.671
Ni 0.500 0.500 0.000

(10)
The following is a PBEsol calculation of an optimized crystal structure of La5Ni, from Alexandria via LeMat-Bulk.

Calculated values
The value obtained for the density of states at the Fermi level is 1.174 states/eV/atom. The value obtained for the electronic total energy is -5.38 eV/atom. As for the space group: No. 189. The volume is 27.84 A^3/atom. The calculation puts the energy above the most stable polymorph in this dataset at 156.1 meV/atom. Its magnetic moment is 0.0 μB per formula unit. For the formation energy, the calculation gives 106 meV/atom.

Unit cell a=6.036 b=6.036 c=5.294 alpha=90.00 beta=90.00 gamma=120.00
Atoms (fractional coordinates):
La 0.000 0.707 0.000
La 0.293 0.293 0.000
La 0.333 0.667 0.500
La 0.667 0.333 0.500
La 0.707 0.000 0.000
Ni 0.000 0.000 0.500

(11)
The following is a PBEsol calculation of an optimized crystal structure of La3Ni, from Alexandria via LeMat-Bulk.

Calculated values
The value obtained for the density of states at the Fermi level is 1.131 states/eV/atom. The value obtained for the electronic total energy is -5.72 eV/atom. As for the space group: No. 62. The volume is 28.16 A^3/atom. Its magnetic moment is 0.0 μB per formula unit. For the formation energy, the calculation gives -167 meV/atom.

Unit cell a=7.005 b=9.982 c=6.444 alpha=90.00 beta=90.00 gamma=90.00
Atoms (fractional coordinates):
La 0.035 0.250 0.146
La 0.169 0.066 0.670
La 0.169 0.434 0.670
La 0.331 0.566 0.170
La 0.331 0.934 0.170
La 0.465 0.750 0.646
La 0.535 0.250 0.354
La 0.669 0.066 0.830
La 0.669 0.434 0.830
La 0.831 0.566 0.330
La 0.831 0.934 0.330
La 0.965 0.750 0.854
Ni 0.120 0.750 0.421
Ni 0.380 0.250 0.921
Ni 0.620 0.750 0.079
Ni 0.880 0.250 0.579

(12)
The following is a PBEsol calculation of an optimized crystal structure of La3Ni, from Alexandria via LeMat-Bulk.

Calculated values
The value obtained for the density of states at the Fermi level is 1.487 states/eV/atom. The value obtained for the electronic total energy is -5.63 eV/atom. As for the space group: No. 123. The volume is 27.30 A^3/atom. Its magnetic moment is 0.0 μB per formula unit. For the formation energy, the calculation gives -78 meV/atom.

Unit cell a=3.557 b=3.557 c=8.630 alpha=90.00 beta=90.00 gamma=90.00
Atoms (fractional coordinates):
La 0.000 0.000 0.000
La 0.500 0.500 0.310
La 0.500 0.500 0.690
Ni 0.000 0.000 0.500

(13)
The following is a PBEsol calculation of an optimized crystal structure of La3Ni, from Alexandria via LeMat-Bulk.

Calculated values
The value obtained for the density of states at the Fermi level is 1.550 states/eV/atom. The value obtained for the electronic total energy is -5.63 eV/atom. As for the space group: No. 44. The volume is 27.68 A^3/atom. Its magnetic moment is 0.0 μB per formula unit. For the formation energy, the calculation gives -84 meV/atom.

Unit cell a=6.275 b=6.275 c=6.275 alpha=146.86 beta=66.74 gamma=123.89
Atoms (fractional coordinates):
La 0.000 0.000 0.000
La 0.268 0.459 0.809
La 0.650 0.459 0.191
Ni 0.628 0.128 0.500

(14)
The following is a PBEsol calculation of an optimized crystal structure of La7Ni16, from Alexandria via LeMat-Bulk.

Calculated values
The value obtained for the density of states at the Fermi level is 0.661 states/eV/atom. The value obtained for the electronic total energy is -6.25 eV/atom. As for the space group: No. 121. The volume is 15.97 A^3/atom. Its magnetic moment is 0.0 μB per formula unit. For the formation energy, the calculation gives -339 meV/atom.

Unit cell a=8.738 b=8.738 c=8.738 alpha=131.40 beta=131.40 gamma=71.17
Atoms (fractional coordinates):
La 0.000 0.000 0.000
La 0.198 0.198 0.603
La 0.250 0.750 0.500
La 0.405 0.802 0.000
La 0.595 0.595 0.397
La 0.750 0.250 0.500
La 0.802 0.405 0.000
Ni 0.053 0.566 0.749
Ni 0.067 0.067 0.763
Ni 0.165 0.439 0.000
Ni 0.183 0.434 0.487
Ni 0.304 0.304 0.237
Ni 0.304 0.817 0.251
Ni 0.434 0.183 0.487
Ni 0.439 0.165 0.000
Ni 0.561 0.561 0.725
Ni 0.566 0.053 0.749
Ni 0.696 0.933 0.000
Ni 0.696 0.947 0.513
Ni 0.817 0.304 0.251
Ni 0.835 0.835 0.275
Ni 0.933 0.696 0.000
Ni 0.947 0.696 0.513

(15)
The following is a PBEsol calculation of an optimized crystal structure of La2Ni3, from Alexandria via LeMat-Bulk.

Calculated values
The value obtained for the density of states at the Fermi level is 0.957 states/eV/atom. The value obtained for the electronic total energy is -6.06 eV/atom. As for the space group: No. 166. The volume is 20.19 A^3/atom. Its magnetic moment is 0.0 μB per formula unit. For the formation energy, the calculation gives -231 meV/atom.

Unit cell a=7.521 b=7.521 c=7.521 alpha=31.14 beta=31.14 gamma=31.14
Atoms (fractional coordinates):
La 0.089 0.089 0.089
La 0.911 0.911 0.911
Ni 0.335 0.335 0.335
Ni 0.500 0.500 0.500
Ni 0.665 0.665 0.665

(16)
The following is a PBEsol calculation of an optimized crystal structure of La2Ni3, from Alexandria via LeMat-Bulk.

Calculated values
The value obtained for the density of states at the Fermi level is 0.785 states/eV/atom. The value obtained for the electronic total energy is -6.15 eV/atom. As for the space group: No. 64. The volume is 18.24 A^3/atom. Its magnetic moment is 0.0 μB per formula unit. For the formation energy, the calculation gives -318 meV/atom.

Unit cell a=5.360 b=5.360 c=7.769 alpha=90.00 beta=90.00 gamma=125.20
Atoms (fractional coordinates):
La 0.154 0.846 0.905
La 0.346 0.654 0.405
La 0.654 0.346 0.595
La 0.846 0.154 0.095
Ni 0.000 0.000 0.500
Ni 0.158 0.342 0.750
Ni 0.342 0.158 0.250
Ni 0.500 0.500 0.000
Ni 0.658 0.842 0.750
Ni 0.842 0.658 0.250

(17)
The following is a PBEsol calculation of an optimized crystal structure of La4NiO8, from Alexandria via LeMat-Bulk.

Calculated values
The value obtained for the electronic total energy is -8.17 eV/atom. As for the space group: No. 65. The volume is 13.37 A^3/atom. Its magnetic moment is 0.0 μB per formula unit. The uncorrected formation energy is -2.82 eV/atom.

Unit cell a=6.817 b=6.817 c=5.253 alpha=90.00 beta=90.00 gamma=134.61
Atoms (fractional coordinates):
La 0.133 0.867 0.000
La 0.367 0.633 0.500
La 0.633 0.367 0.500
La 0.867 0.133 0.000
Ni 0.000 0.000 0.500
O 0.159 0.841 0.500
O 0.251 0.251 0.260
O 0.251 0.251 0.740
O 0.313 0.687 0.000
O 0.687 0.313 0.000
O 0.749 0.749 0.260
O 0.749 0.749 0.740
O 0.841 0.159 0.500

(18)
The following is a PBEsol calculation of an optimized crystal structure of LaNiO3, from Alexandria via LeMat-Bulk.

Calculated values
The value obtained for the density of states at the Fermi level is 0.439 states/eV/atom. The value obtained for the electronic total energy is -7.68 eV/atom. As for the space group: No. 167. The volume is 10.92 A^3/atom. Its magnetic moment is 0.0 μB per formula unit. The uncorrected formation energy is -2.23 eV/atom.

Unit cell a=5.321 b=5.321 c=5.321 alpha=61.11 beta=61.11 gamma=61.11
Atoms (fractional coordinates):
La 0.250 0.250 0.250
La 0.750 0.750 0.750
Ni 0.000 0.000 0.000
Ni 0.500 0.500 0.500
O 0.200 0.750 0.300
O 0.250 0.700 0.800
O 0.300 0.200 0.750
O 0.700 0.800 0.250
O 0.750 0.300 0.200
O 0.800 0.250 0.700

(19)
The following is a PBEsol calculation of an optimized crystal structure of LaNiO3, from Alexandria via LeMat-Bulk.

Calculated values
The value obtained for the density of states at the Fermi level is 0.435 states/eV/atom. The value obtained for the electronic total energy is -7.66 eV/atom. As for the space group: No. 221. The volume is 10.79 A^3/atom. Its magnetic moment is 0.0 μB per formula unit. The uncorrected formation energy is -2.21 eV/atom.

Unit cell a=3.778 b=3.778 c=3.778 alpha=90.00 beta=90.00 gamma=90.00
Atoms (fractional coordinates):
La 0.000 0.000 0.000
Ni 0.500 0.500 0.500
O 0.000 0.500 0.500
O 0.500 0.000 0.500
O 0.500 0.500 0.000

(20)
The following is a PBEsol calculation of an optimized crystal structure of La5Re3NiO16, from Alexandria via LeMat-Bulk.

Calculated values
The value obtained for the density of states at the Fermi level is 0.295 states/eV/atom. The value obtained for the electronic total energy is -8.78 eV/atom. As for the space group: No. 2. The volume is 12.60 A^3/atom. Its magnetic moment is 0.0 μB per formula unit. The uncorrected formation energy is -2.51 eV/atom.

Unit cell a=5.606 b=5.615 c=10.044 alpha=93.69 beta=93.24 gamma=90.99
Atoms (fractional coordinates):
La 0.000 0.000 0.000
La 0.035 0.506 0.705
La 0.489 0.973 0.299
La 0.511 0.027 0.701
La 0.965 0.494 0.295
Re 0.000 0.000 0.500
Re 0.444 0.445 0.107
Re 0.556 0.555 0.893
Ni 0.500 0.500 0.500
O 0.067 0.073 0.686
O 0.177 0.294 0.468
O 0.219 0.696 0.135
O 0.223 0.219 0.178
O 0.296 0.773 0.864
O 0.301 0.818 0.498
O 0.310 0.303 0.931
O 0.457 0.453 0.696
O 0.543 0.547 0.304
O 0.690 0.697 0.069
O 0.699 0.182 0.502
O 0.704 0.227 0.136
O 0.777 0.781 0.822
O 0.781 0.304 0.865
O 0.823 0.706 0.532
O 0.933 0.927 0.314